# MgPHCl2 | Alexandria | PBE | optimized geometry
data_MgPHCl2
_chemical_formula_sum 'Mg1 P1 H1 Cl2'
_cell_length_a 4.982
_cell_length_b 4.982
_cell_length_c 3.367
_cell_angle_alpha 90.00
_cell_angle_beta 90.00
_cell_angle_gamma 90.00
_symmetry_space_group_name_H-M 'P 4/m m m'
_symmetry_Int_Tables_number 123
_symmetry_space_group_name_Hall '-P 4 2'
loop_
_atom_site_label
_atom_site_fract_x
_atom_site_fract_y
_atom_site_fract_z
Mg1 0.000 0.000 0.000
P1 0.500 0.500 0.000
H1 0.500 0.500 0.500
Cl1 0.000 0.500 0.500
# - Offset from the most stable computed form: 0.0 kJ per mole of atoms

=====

# MgPHCl2 | Alexandria | PBE | optimized geometry
data_MgPHCl2
_chemical_formula_sum 'Mg1 P1 H1 Cl2'
_cell_length_a 4.883
_cell_length_b 4.883
_cell_length_c 5.868
_cell_angle_alpha 90.00
_cell_angle_beta 90.00
_cell_angle_gamma 90.00
_symmetry_space_group_name_H-M 'P 4/m m m'
_symmetry_Int_Tables_number 123
_symmetry_space_group_name_Hall '-P 4 2'
loop_
_atom_site_label
_atom_site_fract_x
_atom_site_fract_y
_atom_site_fract_z
Mg1 0.000 0.000 0.000
P1 0.000 0.000 0.500
H1 0.500 0.500 0.500
Cl1 0.000 0.500 0.000
# - Offset from the most stable computed form: 15.6 kJ per mole of atoms

=====

# RbMgHCl2 | Alexandria | PBE | optimized geometry
data_RbMgHCl2
_chemical_formula_sum 'Rb1 Mg1 H1 Cl2'
_cell_length_a 5.274
_cell_length_b 5.274
_cell_length_c 3.940
_cell_angle_alpha 90.00
_cell_angle_beta 90.00
_cell_angle_gamma 90.00
_symmetry_space_group_name_H-M 'P 4/m m m'
_symmetry_Int_Tables_number 123
_symmetry_space_group_name_Hall '-P 4 2'
loop_
_atom_site_label
_atom_site_fract_x
_atom_site_fract_y
_atom_site_fract_z
Rb1 0.000 0.000 0.000
Mg1 0.500 0.500 0.500
H1 0.500 0.500 0.000
Cl1 0.000 0.500 0.500
# - Raw total energy: -3.270 eV/atom

=====

# Mg2ScHCl | Alexandria | PBE | optimized geometry
data_Mg2ScHCl
_chemical_formula_sum 'Mg2 Sc1 H1 Cl1'
_cell_length_a 4.793
_cell_length_b 4.793
_cell_length_c 5.186
_cell_angle_alpha 90.00
_cell_angle_beta 90.00
_cell_angle_gamma 90.00
_symmetry_space_group_name_H-M 'P 4/m m m'
_symmetry_Int_Tables_number 123
_symmetry_space_group_name_Hall '-P 4 2'
loop_
_atom_site_label
_atom_site_fract_x
_atom_site_fract_y
_atom_site_fract_z
Mg1 0.000 0.500 0.000
Sc1 0.000 0.000 0.500
H1 0.500 0.500 0.500
Cl1 0.500 0.500 0.000
# - Raw total energy: -2.446 eV/atom

=====

# MgScH2Cl | Alexandria | PBE | optimized geometry
data_MgScH2Cl
_chemical_formula_sum 'Mg1 Sc1 H2 Cl1'
_cell_length_a 3.676
_cell_length_b 3.676
_cell_length_c 6.591
_cell_angle_alpha 90.00
_cell_angle_beta 90.00
_cell_angle_gamma 90.00
_symmetry_space_group_name_H-M 'P 4/m m m'
_symmetry_Int_Tables_number 123
_symmetry_space_group_name_Hall '-P 4 2'
loop_
_atom_site_label
_atom_site_fract_x
_atom_site_fract_y
_atom_site_fract_z
Mg1 0.000 0.000 0.000
Sc1 0.000 0.000 0.500
H1 0.000 0.500 0.000
Cl1 0.500 0.500 0.500
# - Raw total energy: -3.483 eV/atom

=====

# Mn3HCl | Alexandria | PBE | optimized geometry
data_Mn3HCl
_chemical_formula_sum 'Mn3 H1 Cl1'
_cell_length_a 4.019
_cell_length_b 4.019
_cell_length_c 4.019
_cell_angle_alpha 90.00
_cell_angle_beta 90.00
_cell_angle_gamma 90.00
_symmetry_space_group_name_H-M 'P m -3 m'
_symmetry_Int_Tables_number 221
_symmetry_space_group_name_Hall '-P 4 2 3'
loop_
_atom_site_label
_atom_site_fract_x
_atom_site_fract_y
_atom_site_fract_z
Mn1 0.000 0.000 0.500
H1 0.000 0.000 0.000
Cl1 0.500 0.500 0.500
# - Offset from the most stable computed form: 0.0 kJ per mole of atoms

=====

# MnH2Cl3 | Alexandria | PBE | optimized geometry
data_MnH2Cl3
_chemical_formula_sum 'Mn4 H8 Cl12'
_cell_length_a 23.027
_cell_length_b 4.545
_cell_length_c 6.360
_cell_angle_alpha 90.00
_cell_angle_beta 90.09
_cell_angle_gamma 90.00
_symmetry_space_group_name_H-M 'C 1 2/c 1'
_symmetry_Int_Tables_number 15
loop_
_symmetry_equiv_pos_as_xyz
'x,y,z'
'-x,-y,-z'
'-x,y,-z+1/2'
'x,-y,z+1/2'
'x+1/2,y+1/2,z'
'-x+1/2,-y+1/2,-z'
'-x+1/2,y+1/2,-z+1/2'
'x+1/2,-y+1/2,z+1/2'
loop_
_atom_site_label
_atom_site_fract_x
_atom_site_fract_y
_atom_site_fract_z
Mn1 0.000 0.010 0.250
H1 0.165 0.437 0.011
Cl1 0.000 0.489 0.750
Cl2 0.170 0.264 0.173
# - Raw total energy: -3.863 eV/atom

=====

# MnH2Cl2 | Alexandria | PBE | optimized geometry
data_MnH2Cl2
_chemical_formula_sum 'Mn2 H4 Cl4'
_cell_length_a 6.399
_cell_length_b 3.702
_cell_length_c 8.520
_cell_angle_alpha 90.00
_cell_angle_beta 92.78
_cell_angle_gamma 90.00
_symmetry_space_group_name_H-M 'C 1 2/m 1'
_symmetry_Int_Tables_number 12
loop_
_symmetry_equiv_pos_as_xyz
'x,y,z'
'-x,-y,-z'
'-x,y,-z'
'x,-y,z'
'x+1/2,y+1/2,z'
'-x+1/2,-y+1/2,-z'
'-x+1/2,y+1/2,-z'
'x+1/2,-y+1/2,z'
loop_
_atom_site_label
_atom_site_fract_x
_atom_site_fract_y
_atom_site_fract_z
Mn1 0.000 0.000 0.000
H1 0.051 0.000 0.524
Cl1 0.177 0.500 0.163
# - Offset from the most stable computed form: 0.0 kJ per mole of atoms

=====

# MnH2Cl | Alexandria | PBE | optimized geometry
data_MnH2Cl
_chemical_formula_sum 'Mn4 H8 Cl4'
_cell_length_a 6.722
_cell_length_b 6.722
_cell_length_c 4.838
_cell_angle_alpha 90.00
_cell_angle_beta 90.00
_cell_angle_gamma 90.00
_symmetry_space_group_name_H-M 'I -4 2 d'
_symmetry_Int_Tables_number 122
_symmetry_space_group_name_Hall 'I -4 2bw'
loop_
_atom_site_label
_atom_site_fract_x
_atom_site_fract_y
_atom_site_fract_z
Mn1 0.000 0.000 0.000
H1 0.002 0.250 0.125
Cl1 0.000 0.000 0.500
# - Offset from the most stable computed form: 0.0 kJ per mole of atoms

=====

| no. | volume (Å³/f.u.) |
| --- | --- |
| 1 | 84 |
| 2 | 140 |
| 3 | 110 |
| 4 | 119 |
| 5 | 89 |
| 6 | 65 |
| 7 | 166 |
| 8 | 101 |
| 9 | 55 |